# 1
# LiBe2Ag (PBE-GGA, relaxed)
# Energy of formation from the pure elements   0.23 eV per atom
# Crystal system   monoclinic
data_LiBe2Ag
_chemical_formula_sum 'Li2 Be4 Ag2'
_cell_length_a 4.9081
_cell_length_b 8.2240
_cell_length_c 2.6118
_cell_angle_alpha 90.00
_cell_angle_beta 112.73
_cell_angle_gamma 90.00
_space_group_name_H-M_alt 'C 1 2/m 1'
_space_group_IT_number 12
loop_
_space_group_symop_operation_xyz
'x,y,z'
'-x,-y,-z'
'-x,y,-z'
'x,-y,z'
'x+1/2,y+1/2,z'
'-x+1/2,-y+1/2,-z'
'-x+1/2,y+1/2,-z'
'x+1/2,-y+1/2,z'
loop_
_atom_site_label
_atom_site_type_symbol
_atom_site_fract_x
_atom_site_fract_y
_atom_site_fract_z
Li1 Li 0.0000 0.0000 0.0000
Be1 Be 0.2500 0.2500 0.5000
Ag1 Ag 0.0000 0.5000 0.0000

# 2
# KZrB2 (PBE-GGA, relaxed)
# Energy of formation from the pure elements   1.39 eV per atom
# Crystal system   cubic
data_KZrB2
_chemical_formula_sum 'K4 Zr4 B8'
_cell_length_a 6.4024
_cell_length_b 6.4024
_cell_length_c 6.4024
_cell_angle_alpha 90.00
_cell_angle_beta 90.00
_cell_angle_gamma 90.00
_space_group_name_H-M_alt 'F m -3 m'
_space_group_IT_number 225
_space_group_name_Hall '-F 4 2 3'
loop_
_atom_site_label
_atom_site_type_symbol
_atom_site_fract_x
_atom_site_fract_y
_atom_site_fract_z
K1 K 0.0000 0.0000 0.0000
Zr1 Zr 0.0000 0.0000 0.5000
B1 B 0.2500 0.2500 0.2500

# 3
# Sr2BS (PBE-GGA, relaxed)
# Crystal system   tetragonal
# Uncorrected formation energy   -19.3 kJ per mole of atoms
data_Sr2BS
_chemical_formula_sum 'Sr8 B4 S4'
_cell_length_a 7.4760
_cell_length_b 7.4760
_cell_length_c 8.9023
_cell_angle_alpha 90.00
_cell_angle_beta 90.00
_cell_angle_gamma 90.00
_space_group_name_H-M_alt 'I -4 2 d'
_space_group_IT_number 122
_space_group_name_Hall 'I -4 2bw'
loop_
_atom_site_label
_atom_site_type_symbol
_atom_site_fract_x
_atom_site_fract_y
_atom_site_fract_z
Sr1 Sr 0.2440 0.2500 0.1250
B1 B 0.0000 0.0000 0.0000
S1 S 0.0000 0.0000 0.5000

Number 1: E_tot -11.3 eV per formula unit, distance to the lowest polymorph of the same formula 126 meV per atom. Number 2: E_tot -17.5 eV per formula unit, distance to the lowest polymorph of the same formula 95 meV per atom. Number 3: E_tot -15.0 eV per formula unit, distance to the lowest polymorph of the same formula 4 meV per atom.